No. 1
{
  "formula": "YAsPb2",
  "functional": "PBE-GGA",
  "state": "optimized geometry",
  "mass_density_g_cm3": 8.55,
  "ef_ev_per_atom": -0.37,
  "magnetic_moment_mub_per_cell": 0.000,
  "lattice_angstrom": [[-3.222, -2.343, 1.930], [4.589, 1.383, 4.405], [-1.277, 3.497, 2.396]],
  "species": ["Pb", "Pb", "Y", "As"],
  "fractional_positions": [[0.000, 0.000, 0.000], [0.500, 0.000, 0.500], [0.000, 0.500, 0.500], [0.500, 0.500, 0.000]]
}



No. 2
{
  "formula": "SrNi3S",
  "functional": "PBE-GGA",
  "state": "optimized geometry",
  "raw_formation_energy_mev_per_atom": -235,
  "relative_energy_mev_per_atom": 0,
  "mass_density_g_cm3": 6.00,
  "magnetic_moment_mub_per_cell": 0.000,
  "lattice_angstrom": [[4.342, 0.000, 0.000], [0.000, 4.342, 0.000], [0.000, 0.000, 4.342]],
  "species": ["Sr", "S", "Ni", "Ni", "Ni"],
  "fractional_positions": [[0.500, 0.500, 0.500], [0.000, 0.000, 0.000], [0.000, 0.500, 0.000], [0.000, 0.000, 0.500], [0.500, 0.000, 0.000]]
}



No. 3
{
  "formula": "Li3In6Hg",
  "functional": "PBE-GGA",
  "state": "optimized geometry",
  "mass_density_g_cm3": 4.82,
  "ef_ev_per_atom": 0.04,
  "magnetic_moment_mub_per_cell": 0.000,
  "lattice_angstrom": [[-2.638, -1.373, -0.887], [5.429, -9.227, 1.757], [-4.354, 5.249, 8.438]],
  "species": ["Li", "Li", "Li", "In", "In", "In", "In", "In", "In", "Hg"],
  "fractional_positions": [[0.966, 0.500, 0.000], [0.966, 0.000, 0.500], [0.466, 0.500, 0.500], [0.559, 0.000, 0.722], [0.559, 0.722, 0.000], [0.373, 0.000, 0.278], [0.373, 0.278, 0.000], [0.095, 0.722, 0.722], [0.837, 0.278, 0.278], [0.465, 0.000, 0.000]]
}



No. 4
{
  "formula": "Li2PuUO8",
  "functional": "PBE-GGA",
  "state": "optimized geometry",
  "raw_formation_energy_mev_per_atom": -2370,
  "mass_density_g_cm3": 6.76,
  "magnetic_moment_mub_per_cell": 0.024,
  "lattice_angstrom": [[-2.146, -3.581, -2.134], [-1.949, -1.240, 4.081], [-5.469, 4.093, -1.369]],
  "species": ["Li", "Li", "Pu", "U", "O", "O", "O", "O", "O", "O", "O", "O"],
  "fractional_positions": [[0.500, 0.500, 0.738], [0.500, 0.500, 0.262], [0.000, 0.000, 0.000], [0.000, 0.000, 0.500], [0.187, 0.812, 0.236], [0.721, 0.722, 0.000], [0.812, 0.188, 0.236], [0.813, 0.188, 0.764], [0.279, 0.278, 0.000], [0.188, 0.812, 0.764], [0.714, 0.715, 0.500], [0.286, 0.285, 0.500]]
}



No. 5
{
  "formula": "Nd2Zn2Pt",
  "functional": "PBE-GGA",
  "state": "optimized geometry",
  "mass_density_g_cm3": 8.85,
  "ef_ev_per_atom": -0.63,
  "magnetic_moment_mub_per_cell": 0.000,
  "lattice_angstrom": [[-4.052, -0.833, 1.663], [-0.298, -4.924, 2.782], [0.230, 4.862, 8.972]],
  "species": ["Nd", "Nd", "Nd", "Nd", "Zn", "Zn", "Zn", "Zn", "Pt", "Pt"],
  "fractional_positions": [[0.677, 0.309, 0.338], [0.923, 0.273, 0.881], [0.323, 0.691, 0.662], [0.077, 0.727, 0.119], [0.093, 0.259, 0.555], [0.627, 0.858, 0.888], [0.907, 0.741, 0.445], [0.373, 0.142, 0.112], [0.609, 0.114, 0.668], [0.391, 0.886, 0.332]]
}



No. 6
{
  "formula": "K3Ag2Sn9",
  "functional": "PBE-GGA",
  "state": "optimized geometry",
  "relative_energy_mev_per_atom": 82,
  "mass_density_g_cm3": 5.49,
  "ef_ev_per_atom": -0.04,
  "magnetic_moment_mub_per_cell": 0.000,
  "lattice_angstrom": [[-2.958, -1.548, 6.473], [-1.749, -3.974, -5.847], [13.961, -11.487, 3.633]],
  "species": ["K", "K", "K", "K", "K", "K", "Ag", "Ag", "Ag", "Ag", "Sn", "Sn", "Sn", "Sn", "Sn", "Sn", "Sn", "Sn", "Sn", "Sn", "Sn", "Sn", "Sn", "Sn", "Sn", "Sn", "Sn", "Sn"],
  "fractional_positions": [[0.000, 0.000, 0.750], [0.000, 0.000, 0.250], [0.667, 0.333, 0.924], [0.333, 0.667, 0.076], [0.333, 0.667, 0.424], [0.667, 0.333, 0.576], [0.667, 0.333, 0.159], [0.333, 0.667, 0.841], [0.333, 0.667, 0.659], [0.667, 0.333, 0.341], [0.527, 0.055, 0.750], [0.945, 0.473, 0.750], [0.527, 0.473, 0.750], [0.473, 0.945, 0.250], [0.055, 0.527, 0.250], [0.473, 0.527, 0.250], [0.141, 0.282, 0.927], [0.718, 0.859, 0.927], [0.141, 0.859, 0.927], [0.859, 0.718, 0.073], [0.282, 0.141, 0.073], [0.859, 0.141, 0.073], [0.859, 0.718, 0.427], [0.282, 0.141, 0.427], [0.859, 0.141, 0.427], [0.141, 0.282, 0.573], [0.718, 0.859, 0.573], [0.141, 0.859, 0.573]]
}



No. 7
{
  "formula": "Mn2AlRu",
  "functional": "PBE-GGA",
  "state": "optimized geometry",
  "mass_density_g_cm3": 7.73,
  "ef_ev_per_atom": -0.09,
  "magnetic_moment_mub_per_cell": 2.780,
  "lattice_angstrom": [[2.686, 0.000, 0.000], [0.000, 2.686, 0.000], [0.000, 0.000, 7.084]],
  "species": ["Ru", "Mn", "Mn", "Al"],
  "fractional_positions": [[0.500, 0.500, 0.250], [0.000, 0.000, 0.003], [0.000, 0.000, 0.497], [0.500, 0.500, 0.750]]
}



No. 8
{
  "formula": "Nd4S3Br6",
  "functional": "PBE-GGA",
  "state": "optimized geometry",
  "raw_formation_energy_mev_per_atom": -1947,
  "mass_density_g_cm3": 5.16,
  "magnetic_moment_mub_per_cell": 0.000,
  "lattice_angstrom": [[15.281, -0.001, 0.013], [13.708, 6.753, 0.013], [0.577, 0.134, 7.189]],
  "species": ["Nd", "Nd", "Nd", "Nd", "Nd", "Nd", "Nd", "Nd", "S", "S", "S", "S", "S", "S", "Br", "Br", "Br", "Br", "Br", "Br", "Br", "Br", "Br", "Br", "Br", "Br"],
  "fractional_positions": [[0.252, 0.634, 0.985], [0.478, 0.863, 0.906], [0.522, 0.137, 0.094], [0.748, 0.366, 0.015], [0.137, 0.522, 0.594], [0.634, 0.252, 0.485], [0.863, 0.478, 0.406], [0.366, 0.748, 0.515], [0.434, 0.334, 0.791], [0.551, 0.449, 0.750], [0.666, 0.566, 0.709], [0.566, 0.666, 0.209], [0.334, 0.434, 0.291], [0.449, 0.551, 0.250], [0.842, 0.055, 0.111], [0.158, 0.945, 0.889], [0.752, 0.937, 0.444], [0.815, 0.654, 0.683], [0.063, 0.248, 0.056], [0.248, 0.063, 0.556], [0.945, 0.158, 0.389], [0.055, 0.842, 0.611], [0.937, 0.752, 0.944], [0.346, 0.185, 0.817], [0.654, 0.815, 0.183], [0.185, 0.346, 0.317]]
}



No. 9
{
  "formula": "Tb10SmDy4",
  "functional": "PBE-GGA",
  "state": "optimized geometry",
  "mass_density_g_cm3": 8.03,
  "ef_ev_per_atom": 0.34,
  "magnetic_moment_mub_per_cell": 0.000,
  "lattice_angstrom": [[9.586, 0.000, 4.329], [4.793, 6.853, 2.164], [1.973, 0.000, 8.410]],
  "species": ["Tb", "Tb", "Tb", "Tb", "Tb", "Tb", "Tb", "Tb", "Tb", "Tb", "Sm", "Dy", "Dy", "Dy", "Dy"],
  "fractional_positions": [[0.250, 0.500, 0.500], [0.545, 0.327, 0.900], [0.128, 0.100, 0.327], [0.554, 0.900, 0.673], [0.772, 0.673, 0.100], [0.455, 0.673, 0.100], [0.750, 0.500, 0.500], [0.228, 0.327, 0.900], [0.446, 0.100, 0.327], [0.872, 0.900, 0.673], [0.000, 0.000, 0.000], [0.335, 0.732, 0.598], [0.933, 0.402, 0.732], [0.067, 0.598, 0.268], [0.665, 0.268, 0.402]]
}



No. 10
{
  "formula": "GeAs2WSe",
  "functional": "PBE-GGA",
  "state": "optimized geometry",
  "raw_formation_energy_mev_per_atom": 1407,
  "relative_energy_mev_per_atom": 781,
  "mass_density_g_cm3": 7.21,
  "magnetic_moment_mub_per_cell": 2.496,
  "lattice_angstrom": [[4.793, 0.000, 0.000], [0.000, 4.793, 0.000], [0.000, 0.000, 4.865]],
  "species": ["As", "As", "Ge", "Se", "W"],
  "fractional_positions": [[0.000, 0.500, 0.000], [0.500, 0.000, 0.000], [0.000, 0.000, 0.000], [0.000, 0.000, 0.500], [0.500, 0.500, 0.500]]
}



No. 11
{
  "formula": "BaNa2IrO4",
  "functional": "PBE-GGA",
  "state": "optimized geometry",
  "raw_formation_energy_mev_per_atom": -1273,
  "mass_density_g_cm3": 5.44,
  "magnetic_moment_mub_per_cell": 1.019,
  "lattice_angstrom": [[-1.630, 4.158, 3.953], [-3.921, -1.014, 3.949], [3.231, 1.310, 4.454]],
  "species": ["Ba", "Na", "Na", "Ir", "O", "O", "O", "O"],
  "fractional_positions": [[0.000, 0.000, 0.000], [0.500, 0.750, 0.250], [0.500, 0.250, 0.750], [0.000, 0.500, 0.500], [0.678, 0.476, 0.847], [0.322, 0.153, 0.524], [0.000, 0.524, 0.153], [0.000, 0.847, 0.476]]
}



No. 12
{
  "formula": "NiPb",
  "functional": "PBE-GGA",
  "state": "optimized geometry",
  "mass_density_g_cm3": 11.29,
  "ef_ev_per_atom": 0.26,
  "magnetic_moment_mub_per_cell": 0.000,
  "lattice_angstrom": [[3.391, 0.000, 0.000], [0.000, 7.679, 0.000], [0.000, 0.000, 6.006]],
  "species": ["Ni", "Ni", "Ni", "Ni", "Pb", "Pb", "Pb", "Pb"],
  "fractional_positions": [[0.000, 0.000, 0.372], [0.500, 0.500, 0.872], [0.000, 0.500, 0.548], [0.500, 0.000, 0.048], [0.000, 0.711, 0.129], [0.000, 0.289, 0.129], [0.500, 0.211, 0.629], [0.500, 0.789, 0.629]]
}



| no. | E_tot (eV per atom) |
| --- | --- |
| 1 | -5.007 |
| 2 | -4.866 |
| 3 | -2.211 |
| 4 | -8.130 |
| 5 | -4.259 |
| 6 | -3.261 |
| 7 | -7.927 |
| 8 | -5.139 |
| 9 | -4.289 |
| 10 | -4.664 |
| 11 | -5.429 |
| 12 | -4.481 |